1.
! La8Ge2Pd (PBE-GGA, relaxed); values from VASP
&SYSTEM
  ibrav = 0, nat = 11, ntyp = 3
/
ATOMIC_SPECIES
La 138.91 La.upf
Ge 72.64 Ge.upf
Pd 106.42 Pd.upf
CELL_PARAMETERS angstrom
4.629 -6.348 0.000
4.629 6.348 0.000
-1.485 0.000 5.963
ATOMIC_POSITIONS angstrom
La 0.000 0.000 0.000
La 0.664 1.574 3.373
La 3.134 2.792 1.175
La 0.664 -1.574 3.373
La 4.140 1.651 5.008
La 3.134 -2.792 1.175
La 4.140 -1.651 5.008
La 6.020 0.000 2.305
Ge 2.380 3.999 4.113
Ge 2.380 -3.999 4.113
Pd 3.127 0.000 0.155
! Formation energy (eV/atom): -0.3629
! Energy above the lowest structure with this stoichiometry (meV/atom): 86

2.
! Y2TaOs (PBE-GGA, relaxed); values from VASP
&SYSTEM
  ibrav = 0, nat = 4, ntyp = 3
/
ATOMIC_SPECIES
Y 88.91 Y.upf
Ta 180.95 Ta.upf
Os 190.23 Os.upf
CELL_PARAMETERS angstrom
2.936 -4.800 0.000
2.936 4.800 0.000
-0.921 0.000 2.972
ATOMIC_POSITIONS angstrom
Y 1.468 2.400 0.000
Y 1.468 -2.400 0.000
Ta -0.460 0.000 1.486
Os 2.476 0.000 1.486
! Formation energy (eV/atom): 0.4313
! Energy above the lowest structure with this stoichiometry (meV/atom): 500

3.
! Rb3BaZn (PBE-GGA, relaxed); values from VASP
&SYSTEM
  ibrav = 0, nat = 5, ntyp = 3
/
ATOMIC_SPECIES
Rb 85.47 Rb.upf
Ba 137.33 Ba.upf
Zn 65.41 Zn.upf
CELL_PARAMETERS angstrom
7.079 0.000 0.000
0.000 7.079 0.000
0.000 0.000 7.079
ATOMIC_POSITIONS angstrom
Rb 0.000 0.000 3.540
Rb 0.000 3.540 0.000
Rb 3.540 0.000 0.000
Ba 3.540 3.540 3.540
Zn 0.000 0.000 0.000
! Formation energy (eV/atom): 0.2322
! Energy above the lowest structure with this stoichiometry (meV/atom): 0

4.
! Ac2TmAgO6 (PBE-GGA, relaxed); values from VASP
&SYSTEM
  ibrav = 0, nat = 10, ntyp = 4
/
ATOMIC_SPECIES
Ac 227.00 Ac.upf
Tm 168.93 Tm.upf
Ag 107.87 Ag.upf
O 16.00 O.upf
CELL_PARAMETERS angstrom
5.951 0.000 0.000
0.000 5.951 0.000
0.000 0.000 4.492
ATOMIC_POSITIONS angstrom
Ac 0.000 2.975 0.000
Ac 2.975 0.000 0.000
Tm 0.000 0.000 2.555
Ag 2.975 2.975 2.752
O 0.000 0.000 0.437
O 1.482 1.482 2.997
O 1.482 4.468 2.997
O 2.975 2.975 0.545
O 4.468 1.482 2.997
O 4.468 4.468 2.997
! Energy relative to the elements, uncorrected (eV/atom): -2.42

5.
! Te2AuBrCl (PBE-GGA, relaxed); values from VASP
&SYSTEM
  ibrav = 0, nat = 5, ntyp = 4
/
ATOMIC_SPECIES
Te 127.60 Te.upf
Au 196.97 Au.upf
Br 79.90 Br.upf
Cl 35.45 Cl.upf
CELL_PARAMETERS angstrom
5.600 0.000 0.000
0.000 5.600 0.000
0.000 0.000 4.965
ATOMIC_POSITIONS angstrom
Te 0.000 2.800 0.000
Te 2.800 0.000 0.000
Au 0.000 0.000 2.483
Br 2.800 2.800 2.483
Cl 0.000 0.000 0.000
! Energy relative to the elements, uncorrected (eV/atom): 0.81

6.
! LaCeCu2 (PBE-GGA, relaxed); values from VASP
&SYSTEM
  ibrav = 0, nat = 8, ntyp = 3
/
ATOMIC_SPECIES
La 138.91 La.upf
Ce 140.12 Ce.upf
Cu 63.55 Cu.upf
CELL_PARAMETERS angstrom
4.108 0.000 0.000
0.000 4.321 0.000
-2.033 0.000 10.066
ATOMIC_POSITIONS angstrom
La -0.005 1.080 3.945
La 2.080 3.241 6.121
Ce 0.027 3.241 9.144
Ce 2.048 1.080 0.922
Cu -0.006 3.241 1.382
Cu 0.028 1.080 7.140
Cu 2.046 3.241 2.926
Cu 2.081 1.080 8.685
! Formation energy (eV/atom): -0.0879
! Energy above the lowest structure with this stoichiometry (meV/atom): 0